1.
Density functional theory data (PBE) for crystalline GaSiPb at its relaxed geometry.

POSCAR file:
```
GaSiPb
1.0
6.588 0.000 0.000
0.000 6.588 0.000
0.000 0.000 6.588
Ga Si Pb
4 4 4
Cartesian
0.774 0.774 0.774
2.520 5.814 4.068
4.068 2.520 5.814
5.814 4.068 2.520
1.286 5.303 2.008
2.008 1.286 5.303
4.580 4.580 4.580
5.303 2.008 1.286
0.673 3.967 5.916
2.622 2.622 2.622
3.967 5.916 0.673
5.916 0.673 3.967
```

Output
* energy relative to the elements, uncorrected: 232 meV per atom

---

2.
Density functional theory data (PBE) for crystalline PmSc2Pt3 at its relaxed geometry.

POSCAR file:
```
PmSc2Pt3
1.0
3.322 0.000 0.000
0.000 3.322 0.000
0.000 0.000 10.578
Pm Sc Pt
1 2 3
Cartesian
0.000 0.000 0.000
0.000 0.000 3.618
0.000 0.000 6.960
1.661 1.661 2.116
1.661 1.661 5.289
1.661 1.661 8.462
```

Output
* excess energy over the best structure of this formula in the dataset: 0.0000 eV per atom
* energy relative to the elements: -1.18 eV/atom

---

3.
Density functional theory data (PBE) for crystalline Pu4NiGe12 at its relaxed geometry.

POSCAR file:
```
Pu4NiGe12
1.0
-4.318 4.318 4.318
4.318 -4.318 4.318
4.318 4.318 -4.318
Pu Ni Ge
4 1 12
Cartesian
2.159 2.159 -2.159
2.159 -2.159 2.159
-2.159 2.159 2.159
2.159 2.159 2.159
0.000 0.000 0.000
2.437 0.000 0.000
6.200 0.000 0.000
4.318 2.159 0.000
4.318 0.000 2.159
0.000 2.437 0.000
0.000 0.000 2.437
2.159 4.318 0.000
2.159 0.000 4.318
0.000 6.200 0.000
0.000 0.000 6.200
0.000 4.318 2.159
0.000 2.159 4.318
```

Output
* energy relative to the elements: -0.34 eV/atom